(1)
First-principles (GGA-PBE) data for crystalline Sm3SiBr3 at its relaxed geometry, as listed in Alexandria via LeMat-Bulk.

```
data_Sm3SiBr3
_chemical_formula_sum 'Sm12 Si4 Br12'
_space_group_name_H-M_alt 'P 1'
_space_group_IT_number 1
_space_group_name_Hall 'P 1'
_cell_length_a 10.2772
_cell_length_b 10.2772
_cell_length_c 10.2772
_cell_angle_alpha 109.47
_cell_angle_beta 109.47
_cell_angle_gamma 109.47
loop_
_atom_site_label
_atom_site_type_symbol
_atom_site_fract_x
_atom_site_fract_y
_atom_site_fract_z
_atom_site_occupancy
Br1 Br 0.2453 0.2500 0.7547 1
Br2 Br 0.2547 0.7453 0.2500 1
Br3 Br 0.2547 0.5094 0.5047 1
Br4 Br 0.2453 0.9953 0.9906 1
Br5 Br 0.0047 0.2500 0.9953 1
Br6 Br 0.7500 0.9953 0.5047 1
Br7 Br 0.4953 0.9906 0.7453 1
Br8 Br 0.4953 0.5047 0.2500 1
Br9 Br 0.0094 0.5047 0.7547 1
Br10 Br 0.0047 0.7547 0.5094 1
Br11 Br 0.7500 0.7547 0.7453 1
Br12 Br 0.4906 0.7453 0.9953 1
Si1 Si 0.0000 0.0000 0.2500 1
Si2 Si 0.7500 0.5000 0.0000 1
Si3 Si 0.5000 0.2500 0.5000 1
Si4 Si 0.7500 0.2500 0.2500 1
Sm1 Sm 0.7385 0.4770 0.4885 1
Sm2 Sm 0.2500 0.2385 0.2615 1
Sm3 Sm 0.7615 0.0115 0.0230 1
Sm4 Sm 0.7615 0.7500 0.2385 1
Sm5 Sm 0.5230 0.2615 0.0115 1
Sm6 Sm 0.2500 0.0115 0.4885 1
Sm7 Sm 0.5115 0.0230 0.2615 1
Sm8 Sm 0.5115 0.4885 0.7500 1
Sm9 Sm 0.9885 0.2385 0.4770 1
Sm10 Sm 0.9770 0.4885 0.2385 1
Sm11 Sm 0.7385 0.2615 0.7500 1
Sm12 Sm 0.9885 0.7500 0.0115 1
```

## Properties
The calculation puts the total DFT energy (no corrections) at -138.09 eV/cell. Its space group is I4_132, No. 214. The formation energy without anion corrections comes out at -136.8 kJ per mole of atoms. For the total magnetization, the calculation gives 0.0 Bohr magnetons per cell. The calculation puts the polymorph energy (0 for the lowest one) at 0.00 kJ per mole of atoms. The value obtained for the density of states at the Fermi level is 0.3364 states/eV per atom.

***

(2)
First-principles (GGA-PBE) data for crystalline Sm6SiTc2Br3 at its relaxed geometry, as listed in Alexandria via LeMat-Bulk.

```
data_Sm6SiTc2Br3
_chemical_formula_sum 'Sm6 Si1 Tc2 Br3'
_space_group_name_H-M_alt 'P 1'
_space_group_IT_number 1
_space_group_name_Hall 'P 1'
_cell_length_a 7.0159
_cell_length_b 7.0159
_cell_length_c 8.1462
_cell_angle_alpha 98.44
_cell_angle_beta 98.44
_cell_angle_gamma 118.72
loop_
_atom_site_label
_atom_site_type_symbol
_atom_site_fract_x
_atom_site_fract_y
_atom_site_fract_z
_atom_site_occupancy
Sm1 Sm 0.0622 0.4177 0.1855 1
Sm2 Sm 0.2490 0.2490 0.7703 1
Sm3 Sm 0.7510 0.7510 0.2297 1
Sm4 Sm 0.9378 0.5823 0.8145 1
Sm5 Sm 0.5823 0.9378 0.8145 1
Sm6 Sm 0.4177 0.0622 0.1855 1
Br1 Br 0.5000 0.5000 0.5000 1
Br2 Br 0.8278 0.1722 0.5000 1
Br3 Br 0.1722 0.8278 0.5000 1
Tc1 Tc 0.6353 0.3647 0.0000 1
Tc2 Tc 0.3647 0.6353 0.0000 1
Si1 Si 0.0000 0.0000 0.0000 1
```

## Properties
The calculation puts the total DFT energy (no corrections) at -67.42 eV/cell. Its space group is C2/m, No. 12. The formation energy without anion corrections comes out at -63.7 kJ per mole of atoms. For the total magnetization, the calculation gives 0.0 Bohr magnetons per cell. The value obtained for the density of states at the Fermi level is 0.4792 states/eV per atom.

***

(3)
First-principles (GGA-PBE) data for crystalline Sm4SiTe2Br at its relaxed geometry, as listed in Alexandria via LeMat-Bulk.

```
data_Sm4SiTe2Br
_chemical_formula_sum 'Sm4 Si1 Te2 Br1'
_space_group_name_H-M_alt 'P 1'
_space_group_IT_number 1
_space_group_name_Hall 'P 1'
_cell_length_a 4.3018
_cell_length_b 7.5892
_cell_length_c 7.5415
_cell_angle_alpha 71.15
_cell_angle_beta 90.00
_cell_angle_gamma 90.00
loop_
_atom_site_label
_atom_site_type_symbol
_atom_site_fract_x
_atom_site_fract_y
_atom_site_fract_z
_atom_site_occupancy
Te1 Te 0.5000 0.0000 0.5000 1
Te2 Te 0.0000 0.0000 0.0000 1
Si1 Si 0.0000 0.5000 0.5000 1
Sm1 Sm 0.0000 0.2684 0.2689 1
Sm2 Sm 0.5000 0.7205 0.2783 1
Sm3 Sm 0.5000 0.2795 0.7217 1
Sm4 Sm 0.0000 0.7316 0.7311 1
Br1 Br 0.5000 0.5000 0.0000 1
```

## Properties
The calculation puts the total DFT energy (no corrections) at -42.06 eV/cell. Its space group is P2/m, No. 10. The formation energy without anion corrections comes out at -118.2 kJ per mole of atoms. For the total magnetization, the calculation gives 0.0 Bohr magnetons per cell. The value obtained for the density of states at the Fermi level is 0.4857 states/eV per atom.

***

(4)
First-principles (GGA-PBE) data for crystalline Sm6Si2TeBr3 at its relaxed geometry, as listed in Alexandria via LeMat-Bulk.

```
data_Sm6Si2TeBr3
_chemical_formula_sum 'Sm6 Si2 Te1 Br3'
_space_group_name_H-M_alt 'P 1'
_space_group_IT_number 1
_space_group_name_Hall 'P 1'
_cell_length_a 4.2961
_cell_length_b 8.6749
_cell_length_c 9.6594
_cell_angle_alpha 102.71
_cell_angle_beta 102.85
_cell_angle_gamma 90.00
loop_
_atom_site_label
_atom_site_type_symbol
_atom_site_fract_x
_atom_site_fract_y
_atom_site_fract_z
_atom_site_occupancy
Si1 Si 0.8297 0.6578 0.6595 1
Si2 Si 0.1703 0.3422 0.3405 1
Br1 Br 0.8363 0.1614 0.6726 1
Br2 Br 0.5000 0.5000 0.0000 1
Br3 Br 0.1637 0.8386 0.3274 1
Te1 Te 0.5000 0.0000 0.0000 1
Sm1 Sm 0.0193 0.2633 0.0387 1
Sm2 Sm 0.6710 0.1301 0.3420 1
Sm3 Sm 0.9807 0.7367 0.9613 1
Sm4 Sm 0.3290 0.8699 0.6580 1
Sm5 Sm 0.6743 0.5655 0.3486 1
Sm6 Sm 0.3257 0.4345 0.6514 1
```

## Properties
The calculation puts the total DFT energy (no corrections) at -60.84 eV/cell. Its space group is C2/m, No. 12. The formation energy without anion corrections comes out at -108.7 kJ per mole of atoms. For the total magnetization, the calculation gives 0.0 Bohr magnetons per cell. The value obtained for the density of states at the Fermi level is 0.4435 states/eV per atom.